VASP calculation (PBE) on a relaxed CaTi2Ga crystal.

- energy (eV/f.u.) = -19.1
- magnetic moment (μB per atom) = 0.00
- ρ (g/cm3) = 3.713

abc: 4.283 4.283 10.468
angles: 78.19 78.19 90.00
Fractional coordinates of all 8 atoms:
Ti1 0.875 0.009 0.750
Ti2 0.375 0.241 0.750
Ca1 0.250 0.750 0.500
Ti3 0.991 0.625 0.250
Ca2 0.500 0.500 0.000
Ga1 0.000 0.000 0.000
Ga2 0.750 0.250 0.500
Ti4 0.759 0.125 0.250